## Na2Ca5Rh2 (PBE)

Data for a relaxed structure of Na2Ca5Rh2.

Structure (POSCAR):
```
Na2Ca5Rh2
1.0
9.719 -3.883 0.000
9.719 3.883 0.000
0.000 0.000 7.758
Na Ca Rh
4 10 4
Direct
0.231 0.231 0.000
0.269 0.269 0.500
0.731 0.731 0.500
0.769 0.769 0.000
0.000 0.000 0.000
0.071 0.735 0.668
0.235 0.571 0.168
0.265 0.929 0.668
0.429 0.765 0.168
0.500 0.500 0.500
0.571 0.235 0.832
0.735 0.071 0.332
0.765 0.429 0.832
0.929 0.265 0.332
0.127 0.873 0.373
0.373 0.627 0.873
0.627 0.373 0.127
0.873 0.127 0.627
```

Magnetic moment: 0.00 μB/f.u.
E_form: -0.229 eV/atom